Here is a relaxed structure of SrPrAlGa from Alexandria. Energies are from PBE-GGA.

Lattice parameters (Å, degrees): 5.4058 5.4058 5.4058 60.00 60.00 60.00
With the nearest neighbours (Å) after each atom.
Atoms (fractional coordinates):
1 Sr 0.0000 0.0000 0.0000  4 Al 3.31, 4 Ga 3.31
2 Pr 0.5000 0.5000 0.5000  4 Ga 3.31, 4 Al 3.31
3 Al 0.2500 0.2500 0.2500  4 Pr 3.31, 4 Sr 3.31
4 Ga 0.7500 0.7500 0.7500  4 Pr 3.31, 4 Sr 3.31

Properties
total magnetization = 0.000 μB per cell
formation energy from the elements = -108 kJ/mol of formula units
DOS(E_F) = 3.194 states/eV/f.u.


Here is a relaxed structure of Tb2Pr2AlGa4 from Alexandria. Energies are from PBE-GGA.

Lattice parameters (Å, degrees): 6.7520 6.7520 6.7520 116.58 116.58 96.04
With the nearest neighbours (Å) after each atom.
Atoms (fractional coordinates):
1 Tb 0.2500 0.7500 0.5000  8 Ga 3.38, 4 Pr 3.59
2 Tb 0.7500 0.2500 0.5000  8 Ga 3.38, 4 Pr 3.59
3 Pr 0.1892 0.1892 0.0000  1 Al 2.81, 4 Ga 3.08
4 Pr 0.8108 0.8108 0.0000  1 Al 2.81, 4 Ga 3.08
5 Al 0.5000 0.5000 0.0000  4 Ga 2.46
6 Ga 0.2548 0.2548 0.5095  1 Al 2.46
7 Ga 0.2548 0.7452 0.0000  1 Al 2.46
8 Ga 0.7452 0.2548 0.0000  1 Al 2.46
9 Ga 0.7452 0.7452 0.4905  1 Al 2.46

Properties
total magnetization = 0.000 μB per cell
formation energy from the elements = -200 kJ/mol of formula units
DOS(E_F) = 5.674 states/eV/f.u.


Here is a relaxed structure of TbPrAl2Ga2 from Alexandria. Energies are from PBE-GGA.

Lattice parameters (Å, degrees): 4.3227 4.3227 8.3862 90.00 90.00 120.00
With the nearest neighbours (Å) after each atom.
Atoms (fractional coordinates):
1 Tb 0.0000 0.0000 0.0000  6 Ga 3.20, 6 Al 3.22
2 Pr 0.0000 0.0000 0.5000  6 Al 3.30, 6 Ga 3.32
3 Al 0.3333 0.6667 0.2422  3 Ga 2.50
4 Al 0.6667 0.3333 0.7578  3 Ga 2.50
5 Ga 0.3333 0.6667 0.7616  3 Al 2.50
6 Ga 0.6667 0.3333 0.2384  3 Al 2.50

Properties
total magnetization = 0.000 μB per cell
formation energy from the elements = -337 kJ/mol of formula units
DOS(E_F) = 3.399 states/eV/f.u.


Here is a relaxed structure of PrTmAl2Ga2 from Alexandria. Energies are from PBE-GGA.

Lattice parameters (Å, degrees): 4.5200 4.5200 7.2092 90.00 90.00 120.00
With the nearest neighbours (Å) after each atom.
Atoms (fractional coordinates):
1 Pr 0.0000 0.0000 0.0000  6 Al 3.26, 6 Ga 3.28, 2 Tm 3.60
2 Tm 0.0000 0.0000 0.5000  6 Ga 3.07, 6 Al 3.09
3 Al 0.3333 0.6667 0.7301  3 Ga 2.61
4 Al 0.6667 0.3333 0.2699  3 Ga 2.61
5 Ga 0.3333 0.6667 0.2753  3 Al 2.61
6 Ga 0.6667 0.3333 0.7247  3 Al 2.61

Properties
total magnetization = 0.000 μB per cell
formation energy from the elements = -325 kJ/mol of formula units
DOS(E_F) = 1.836 states/eV/f.u.


Here is a relaxed structure of PrYAl2Ga2 from Alexandria. Energies are from PBE-GGA.

Lattice parameters (Å, degrees): 4.3211 4.3211 8.3735 90.00 90.00 120.00
With the nearest neighbours (Å) after each atom.
Atoms (fractional coordinates):
1 Pr 0.0000 0.0000 0.0000  6 Al 3.30, 6 Ga 3.32
2 Y 0.0000 0.0000 0.5000  6 Ga 3.20, 6 Al 3.22
3 Al 0.3333 0.6667 0.7423  3 Ga 2.49
4 Al 0.6667 0.3333 0.2577  3 Ga 2.49
5 Ga 0.3333 0.6667 0.2610  3 Al 2.49
6 Ga 0.6667 0.3333 0.7390  3 Al 2.49

Properties
total magnetization = 0.000 μB per cell
formation energy from the elements = -339 kJ/mol of formula units
DOS(E_F) = 3.415 states/eV/f.u.


Here is a relaxed structure of PrYAlGa from Alexandria. Energies are from PBE-GGA.

Lattice parameters (Å, degrees): 5.1912 5.1912 5.1912 60.00 60.00 60.00
With the nearest neighbours (Å) after each atom.
Atoms (fractional coordinates):
1 Pr 0.0000 0.0000 0.0000  4 Ga 3.18, 4 Al 3.18
2 Y 0.5000 0.5000 0.5000  4 Ga 3.18, 4 Al 3.18
3 Al 0.2500 0.2500 0.2500  4 Y 3.18, 4 Pr 3.18
4 Ga 0.7500 0.7500 0.7500  4 Y 3.18, 4 Pr 3.18

Properties
polymorph energy (0 for the lowest one) = 14 kJ/mol of formula units
total magnetization = 0.000 μB per cell
formation energy from the elements = -180 kJ/mol of formula units
DOS(E_F) = 1.309 states/eV/f.u.


Here is a relaxed structure of PrYAlGa from Alexandria. Energies are from PBE-GGA.

Lattice parameters (Å, degrees): 4.1656 6.0732 6.0732 43.24 90.00 90.00
With the nearest neighbours (Å) after each atom.
Atoms (fractional coordinates):
1 Pr 0.0000 0.0000 0.0000  4 Ga 3.16, 3 Al 3.24-3.29
2 Y 0.5000 0.2811 0.2811  4 Al 3.15, 3 Ga 3.26-3.27
3 Al 0.0000 0.7133 0.7133  2 Ga 2.63
4 Ga 0.5000 0.5709 0.5709  2 Al 2.63

Properties
polymorph energy (0 for the lowest one) = 0 kJ/mol of formula units
total magnetization = 0.000 μB per cell
formation energy from the elements = -194 kJ/mol of formula units
DOS(E_F) = 3.761 states/eV/f.u.


Here is a relaxed structure of Pr2Al3Zn4Ga from Alexandria. Energies are from PBE-GGA.

Lattice parameters (Å, degrees): 4.2762 4.2762 10.7413 90.00 90.00 90.00
With the nearest neighbours (Å) after each atom.
Atoms (fractional coordinates):
1 Pr 0.0000 0.5000 0.2495  8 Zn 3.26-3.43, 6 Al 3.27-3.44, 2 Ga 3.44
2 Pr 0.5000 0.0000 0.7505  8 Zn 3.26-3.43, 6 Al 3.27-3.44, 2 Ga 3.44
3 Al 0.0000 0.5000 0.8675  5 Zn 2.47-2.57
4 Al 0.5000 0.0000 0.1325  5 Zn 2.47-2.57
5 Al 0.5000 0.5000 0.5000  4 Zn 2.60
6 Zn 0.0000 0.0000 0.0000  4 Al 2.57
7 Zn 0.0000 0.5000 0.6371  3 Al 2.47-2.60, 2 Ga 2.60
8 Zn 0.5000 0.0000 0.3629  3 Al 2.47-2.60, 2 Ga 2.60
9 Zn 0.5000 0.5000 0.0000  4 Al 2.57
10 Ga 0.0000 0.0000 0.5000  4 Zn 2.60

Properties
total magnetization = 0.000 μB per cell
formation energy from the elements = -411 kJ/mol of formula units
DOS(E_F) = 2.400 states/eV/f.u.


Here is a relaxed structure of PrAlZnGa2 from Alexandria. Energies are from PBE-GGA.

Lattice parameters (Å, degrees): 6.2841 6.2841 6.2841 140.65 140.65 56.87
With the nearest neighbours (Å) after each atom.
Atoms (fractional coordinates):
1 Pr 0.0000 0.0000 0.0000  8 Ga 3.24, 4 Al 3.48, 4 Zn 3.48
2 Al 0.2500 0.7500 0.5000  4 Ga 2.60
3 Zn 0.7500 0.2500 0.5000  4 Ga 2.60
4 Ga 0.3869 0.3869 0.0000  1 Ga 2.50, 2 Al 2.60, 2 Zn 2.60
5 Ga 0.6131 0.6131 0.0000  1 Ga 2.50, 2 Al 2.60, 2 Zn 2.60

Properties
total magnetization = 0.000 μB per cell
formation energy from the elements = -228 kJ/mol of formula units
DOS(E_F) = 2.415 states/eV/f.u.


Here is a relaxed structure of Pr2AlZn3Ga4 from Alexandria. Energies are from PBE-GGA.

Lattice parameters (Å, degrees): 4.2433 4.2433 10.8813 90.00 90.00 90.00
With the nearest neighbours (Å) after each atom.
Atoms (fractional coordinates):
1 Pr 0.0000 0.5000 0.2484  8 Ga 3.24-3.44, 6 Zn 3.25-3.46, 2 Al 3.46
2 Pr 0.5000 0.0000 0.7516  8 Ga 3.24-3.44, 6 Zn 3.25-3.46, 2 Al 3.46
3 Al 0.0000 0.0000 0.5000  4 Ga 2.61
4 Zn 0.0000 0.5000 0.8657  5 Ga 2.46-2.58
5 Zn 0.5000 0.0000 0.1343  5 Ga 2.46-2.58
6 Zn 0.5000 0.5000 0.5000  4 Ga 2.61
7 Ga 0.0000 0.0000 0.0000  4 Zn 2.58
8 Ga 0.0000 0.5000 0.6400  3 Zn 2.46-2.61, 2 Al 2.61
9 Ga 0.5000 0.0000 0.3600  3 Zn 2.46-2.61, 2 Al 2.61
10 Ga 0.5000 0.5000 0.0000  4 Zn 2.58

Properties
total magnetization = 0.000 μB per cell
formation energy from the elements = -468 kJ/mol of formula units
DOS(E_F) = 1.633 states/eV/f.u.


Here is a relaxed structure of Pr3Al2Zn6Ga from Alexandria. Energies are from PBE-GGA.

Lattice parameters (Å, degrees): 6.0650 6.0650 8.2486 90.00 90.00 120.00
With the nearest neighbours (Å) after each atom.
Atoms (fractional coordinates):
1 Pr 0.0000 0.0000 0.0000  6 Zn 3.15, 6 Al 3.51
2 Pr 0.3333 0.6667 0.6489  9 Zn 3.07-3.27, 1 Al 3.19
3 Pr 0.6667 0.3333 0.3511  9 Zn 3.07-3.27, 1 Al 3.19
4 Al 0.3333 0.6667 0.0360  3 Zn 2.66
5 Al 0.6667 0.3333 0.9640  3 Zn 2.66
6 Zn 0.1865 0.3729 0.2987  1 Ga 2.57, 1 Al 2.66, 2 Zn 2.67
7 Zn 0.1865 0.8135 0.2987  1 Ga 2.57, 1 Al 2.66, 2 Zn 2.67
8 Zn 0.3729 0.1865 0.7013  1 Ga 2.57, 1 Al 2.66, 2 Zn 2.67
9 Zn 0.6271 0.8135 0.2987  1 Ga 2.57, 1 Al 2.66, 2 Zn 2.67
10 Zn 0.8135 0.1865 0.7013  1 Ga 2.57, 1 Al 2.66, 2 Zn 2.67
11 Zn 0.8135 0.6271 0.7013  1 Ga 2.57, 1 Al 2.66, 2 Zn 2.67
12 Ga 0.0000 0.0000 0.5000  6 Zn 2.57

Properties
total magnetization = 0.000 μB per cell
formation energy from the elements = -177 kJ/mol of formula units
DOS(E_F) = 6.945 states/eV/f.u.


Here is a relaxed structure of Pr2AlZnGa6 from Alexandria. Energies are from PBE-GGA.

Lattice parameters (Å, degrees): 12.6181 12.6181 12.6181 29.54 29.54 29.54
With the nearest neighbours (Å) after each atom.
Atoms (fractional coordinates):
1 Pr 0.1133 0.1133 0.1133  12 Ga 3.28-3.65
2 Pr 0.2963 0.2963 0.2963  12 Ga 3.23-3.57
3 Pr 0.7037 0.7037 0.7037  12 Ga 3.23-3.57
4 Pr 0.8867 0.8867 0.8867  12 Ga 3.28-3.65
5 Al 0.0000 0.0000 0.0000  6 Ga 2.60
6 Al 0.5000 0.5000 0.5000  2 Zn 2.52, 6 Ga 2.68
7 Zn 0.4304 0.4304 0.4304  1 Al 2.52, 6 Ga 2.52-2.56
8 Zn 0.5696 0.5696 0.5696  1 Al 2.52, 6 Ga 2.52-2.56
9 Ga 0.0537 0.6642 0.6642  2 Ga 2.51, 1 Zn 2.52, 1 Al 2.68
10 Ga 0.2310 0.2310 0.6639  1 Zn 2.56, 1 Al 2.60, 2 Ga 2.79
11 Ga 0.2310 0.6639 0.2310  1 Zn 2.56, 1 Al 2.60, 2 Ga 2.79
12 Ga 0.3358 0.3358 0.9463  2 Ga 2.51, 1 Zn 2.52, 1 Al 2.68
13 Ga 0.3361 0.7690 0.7690  1 Zn 2.56, 1 Al 2.60, 2 Ga 2.79
14 Ga 0.3358 0.9463 0.3358  2 Ga 2.51, 1 Zn 2.52, 1 Al 2.68
15 Ga 0.6642 0.0537 0.6642  2 Ga 2.51, 1 Zn 2.52, 1 Al 2.68
16 Ga 0.6639 0.2310 0.2310  1 Zn 2.56, 1 Al 2.60, 2 Ga 2.79
17 Ga 0.6642 0.6642 0.0537  2 Ga 2.51, 1 Zn 2.52, 1 Al 2.68
18 Ga 0.7690 0.3361 0.7690  1 Zn 2.56, 1 Al 2.60, 2 Ga 2.79
19 Ga 0.7690 0.7690 0.3361  1 Zn 2.56, 1 Al 2.60, 2 Ga 2.79
20 Ga 0.9463 0.3358 0.3358  2 Ga 2.51, 1 Zn 2.52, 1 Al 2.68

Properties
total magnetization = 0.000 μB per cell
formation energy from the elements = -246 kJ/mol of formula units
DOS(E_F) = 3.696 states/eV/f.u.